No. 1
# Pr2ErScAs4 (PBE, optimized geometry)
data_Pr2ErScAs4
_cell_length_a 7.1711
_cell_length_b 4.1590
_cell_length_c 7.1948
_cell_angle_alpha 90.00
_cell_angle_beta 109.54
_cell_angle_gamma 90.00
_space_group_name_H-M_alt 'P 1 2/m 1'
_space_group_IT_number 10
loop_
_space_group_symop_operation_xyz
'x,y,z'
'-x,-y,-z'
'-x,y,-z'
'x,-y,z'
loop_
_atom_site_label
_atom_site_type_symbol
_atom_site_fract_x
_atom_site_fract_y
_atom_site_fract_z
Pr1 Pr 0.0000 0.0000 0.0000
Pr2 Pr 0.0000 0.5000 0.5000
Er1 Er 0.5000 0.0000 0.5000
Sc1 Sc 0.5000 0.5000 0.0000
As1 As 0.2680 0.5000 0.2507
As2 As 0.2718 0.0000 0.7625
# Volume, Å³ per atom: 25.3
# ΔH_f (0 K), eV per atom: -1.44
# E_tot, eV per atom: -6.324

---

No. 2
# HfTi4Tl (PBE, optimized geometry)
data_HfTi4Tl
_cell_length_a 6.3466
_cell_length_b 4.8244
_cell_length_c 7.6301
_cell_angle_alpha 90.00
_cell_angle_beta 90.00
_cell_angle_gamma 90.00
_space_group_name_H-M_alt 'P m m a'
_space_group_IT_number 51
loop_
_space_group_symop_operation_xyz
'x,y,z'
'-x,-y,-z'
'-x+1/2,-y,z'
'x+1/2,y,-z'
'x+1/2,-y,-z'
'-x+1/2,y,z'
'-x,y,-z'
'x,-y,z'
loop_
_atom_site_label
_atom_site_type_symbol
_atom_site_fract_x
_atom_site_fract_y
_atom_site_fract_z
Hf1 Hf 0.2500 0.0000 0.1811
Ti1 Ti 0.0000 0.0000 0.5000
Ti2 Ti 0.0069 0.5000 0.8100
Ti3 Ti 0.2500 0.5000 0.4687
Tl1 Tl 0.2500 0.0000 0.8009
# Volume, Å³ per atom: 19.5
# ΔH_f (0 K), eV per atom: 0.22
# E_tot, eV per atom: -7.092

---

No. 3
# ZnSiGe2O (PBE, optimized geometry)
data_ZnSiGe2O
_cell_length_a 4.8242
_cell_length_b 4.8242
_cell_length_c 4.5056
_cell_angle_alpha 90.00
_cell_angle_beta 90.00
_cell_angle_gamma 90.00
_space_group_name_H-M_alt 'P 4/m m m'
_space_group_IT_number 123
_space_group_name_Hall '-P 4 2'
loop_
_atom_site_label
_atom_site_type_symbol
_atom_site_fract_x
_atom_site_fract_y
_atom_site_fract_z
Zn1 Zn 0.0000 0.0000 0.0000
Si1 Si 0.0000 0.0000 0.5000
Ge1 Ge 0.0000 0.5000 0.0000
O1 O 0.5000 0.5000 0.5000
# Volume, Å³ per atom: 21.0
# E_tot, eV per atom: -3.171

---

- Which value of E_tot does entry 1 give?
  -6.324 eV per atom